# 1
{
  "formula": "Si2AsOs",
  "functional": "PBE-GGA",
  "state": "relaxed",
  "rho_g_cm3": 8.43,
  "magmom_total_mub_per_fu": 0.0,
  "volume_a3_per_fu": 63,
  "e_tot_ev_per_atom": -6.50,
  "raw_formation_energy_ev_per_atom": 0.18,
  "lattice_angstrom": [[2.995, 0.000, 0.000], [0.000, 2.995, 0.000], [0.000, 0.000, 7.057]],
  "species": ["As", "Os", "Si", "Si"],
  "fractional_positions": [[0.000, 0.000, 0.548], [0.500, 0.500, 0.784], [0.000, 0.000, 0.982], [0.500, 0.500, 0.185]]
}

---

# 2
{
  "formula": "AcCdF6",
  "functional": "PBE-GGA",
  "state": "relaxed",
  "rho_g_cm3": 6.14,
  "magmom_total_mub_per_fu": 1.0,
  "volume_a3_per_fu": 123,
  "e_tot_ev_per_atom": -4.82,
  "raw_formation_energy_ev_per_atom": -2.79,
  "lattice_angstrom": [[4.185, 0.348, 0.927], [1.245, 4.011, 0.927], [-0.140, -0.112, 7.455]],
  "species": ["Ac", "Cd", "F", "F", "F", "F", "F", "F"],
  "fractional_positions": [[0.000, 0.000, 0.000], [0.500, 0.500, 0.500], [0.380, 0.900, 0.678], [0.900, 0.380, 0.678], [0.100, 0.620, 0.322], [0.620, 0.100, 0.322], [0.654, 0.654, 0.059], [0.346, 0.346, 0.941]]
}